[1]
NaPmPbCl6 after structural relaxation, computed with PBE-GGA.

Output
Size of the total moment: 0.00 μB per formula unit
ΔE_f (raw): -1.795 eV per atom
Symmetry: P-31c (163)

```
18
Lattice="7.105 0.000 0.000 -3.553 6.153 0.000 0.000 0.000 12.586" Properties=species:S:1:pos:R:3 pbc="T T T"
Na 0.000 4.102 3.146
Na 3.553 2.051 9.439
Pm 0.000 4.102 9.439
Pm 3.553 2.051 3.146
Pb 0.000 0.000 0.000
Pb 0.000 0.000 6.293
Cl -1.166 2.154 7.916
Cl -2.271 4.067 10.963
Cl 1.166 2.154 10.963
Cl -1.104 6.087 7.916
Cl 2.448 0.067 1.623
Cl 1.282 2.087 4.670
Cl 2.271 4.067 7.916
Cl 1.104 6.087 10.963
Cl 4.657 0.067 4.670
Cl 2.386 4.000 1.623
Cl 5.824 2.087 1.623
Cl 4.719 4.000 4.670
```



[2]
Li2Ac2S3Cl2 after structural relaxation, computed with PBE-GGA.

Output
Size of the total moment: 0.00 μB per formula unit
ΔE_f (raw): -1.879 eV per atom
Symmetry: I4/mmm (139)

```
9
Lattice="-2.430 2.430 9.406 2.430 -2.430 9.406 2.430 2.430 -9.406" Properties=species:S:1:pos:R:3 pbc="T T T"
Li 2.430 0.000 0.000
Li 0.000 2.430 0.000
Ac 0.000 0.000 3.136
Ac 0.000 0.000 15.677
S 0.000 0.000 0.000
S 2.430 0.000 4.703
S 0.000 2.430 4.703
Cl 0.000 0.000 7.642
Cl 0.000 0.000 11.171
```



[3]
Ca3Cu3Pd2 after structural relaxation, computed with PBE-GGA.

Output
DFT formation energy: -0.353 eV/atom
Size of the total moment: 0.00 μB per formula unit
Symmetry: Pnma (62)

```
32
Lattice="7.727 0.000 0.000 0.000 15.471 0.000 0.000 0.000 5.603" Properties=species:S:1:pos:R:3 pbc="T T T"
Ca 0.263 1.605 0.695
Ca 0.263 6.131 0.695
Ca 1.308 3.868 3.487
Ca 2.556 11.603 0.685
Ca 3.601 9.340 3.497
Ca 3.601 13.866 3.497
Ca 4.127 1.605 2.106
Ca 4.127 6.131 2.106
Ca 5.172 3.868 4.918
Ca 6.419 11.603 2.116
Ca 7.464 9.340 4.908
Ca 7.464 13.866 4.908
Cu 1.307 0.497 3.328
Cu 1.307 7.238 3.328
Cu 1.371 11.603 3.450
Cu 2.492 3.868 0.648
Cu 2.557 8.233 0.527
Cu 2.557 14.974 0.527
Cu 5.170 0.497 5.076
Cu 5.170 7.238 5.076
Cu 5.235 11.603 4.955
Cu 6.356 3.868 2.154
Cu 6.421 8.233 2.275
Cu 6.421 14.974 2.275
Pd 0.946 9.468 2.087
Pd 0.946 13.738 2.087
Pd 2.918 1.733 4.888
Pd 2.918 6.003 4.888
Pd 4.810 9.468 0.715
Pd 4.810 13.738 0.715
Pd 6.781 1.733 3.516
Pd 6.781 6.003 3.516
```



[4]
IrCl6F2 after structural relaxation, computed with PBE-GGA.

Output
Size of the total moment: 1.04 μB per formula unit
ΔE_f (raw): -0.497 eV per atom
Symmetry: P2_1/c (14)

```
18
Lattice="7.120 0.000 0.000 0.000 7.340 0.000 -4.333 0.000 8.931" Properties=species:S:1:pos:R:3 pbc="T T T"
Ir 0.000 0.000 0.000
Ir -2.167 3.670 4.466
Cl -1.018 1.654 4.652
Cl 1.149 2.016 0.186
Cl -0.182 4.898 4.534
Cl 1.984 6.112 0.068
Cl -0.044 1.451 6.741
Cl 2.123 2.218 2.275
Cl 0.664 5.121 6.656
Cl 2.831 5.888 2.190
Cl 0.803 1.228 8.863
Cl 2.970 2.442 4.398
Cl 1.638 5.324 8.745
Cl 3.805 5.686 4.279
F -2.362 3.780 6.393
F -0.195 7.229 1.927
F 2.982 0.111 7.004
F 5.149 3.559 2.539
```



[5]
LiVTcPt after structural relaxation, computed with PBE-GGA.

Output
DFT formation energy: -0.264 eV/atom
Size of the total moment: 0.00 μB per formula unit
Symmetry: F-43m (216)

```
4
Lattice="0.000 2.995 2.995 2.995 0.000 2.995 2.995 2.995 0.000" Properties=species:S:1:pos:R:3 pbc="T T T"
Li 0.000 0.000 0.000
V 2.995 2.995 2.995
Tc 4.492 4.492 4.492
Pt 1.497 1.497 1.497
```



[6]
Tb4SeO5 after structural relaxation, computed with PBE-GGA.

Output
Size of the total moment: 0.00 μB per formula unit
ΔE_f (raw): -2.985 eV per atom
Symmetry: C2/m (12)

```
10
Lattice="7.397 -1.849 0.000 7.397 1.849 0.000 -3.108 0.000 6.038" Properties=species:S:1:pos:R:3 pbc="T T T"
Tb 14.126 0.000 1.296
Tb -2.440 0.000 4.742
Tb 3.266 0.000 1.687
Tb 8.420 0.000 4.351
Se 5.843 0.000 3.019
O 1.118 0.000 2.672
O -0.276 0.000 5.391
O 7.397 0.000 0.000
O 11.962 0.000 0.647
O 10.568 0.000 3.366
```



[7]
PrTeAs after structural relaxation, computed with PBE-GGA.

Output
Size of the total moment: 0.00 μB per formula unit
ΔE_f (raw): -1.227 eV per atom
Symmetry: Pnma (62)

```
12
Lattice="7.793 0.000 0.000 0.000 4.171 0.000 0.000 0.000 10.333" Properties=species:S:1:pos:R:3 pbc="T T T"
Pr 1.762 1.043 1.632
Pr 2.135 3.129 6.799
Pr 5.658 1.043 3.534
Pr 6.032 3.129 8.701
Te 0.717 1.043 8.805
Te 3.179 3.129 3.638
Te 4.614 1.043 6.695
Te 7.076 3.129 1.528
As 0.723 1.043 4.770
As 3.174 3.129 9.936
As 4.619 1.043 0.397
As 7.071 3.129 5.563
```



[8]
CeUNiOs after structural relaxation, computed with PBE-GGA.

Output
DFT formation energy: -0.174 eV/atom
Size of the total moment: 0.00 μB per formula unit
Symmetry: F-43m (216)

```
4
Lattice="0.000 3.255 3.255 3.255 0.000 3.255 3.255 3.255 0.000" Properties=species:S:1:pos:R:3 pbc="T T T"
Ce 0.000 0.000 0.000
U 4.883 4.883 4.883
Ni 1.628 1.628 1.628
Os 3.255 3.255 3.255
```



> size of the total moment of number 2 (Li2Ac2S3Cl2)?

0.00 μB per formula unit



> Which value of size of the total moment does entry 6 give?

0.00 μB per formula unit